The following is a DFT calculation (GGA-PBEsol) of an optimized crystal structure of CaBeSe4.

```
CaBeSe4
1.0
5.703 0.000 0.000
2.851 4.939 0.000
2.851 1.646 4.656
Be Se Ca
1 4 1
Direct
0.750 0.750 0.750
0.376 0.376 0.376
0.376 0.872 0.376
0.872 0.376 0.376
0.376 0.376 0.872
0.000 0.000 0.000
```

The calculation puts the formation energy (no corrections) at 173 meV per atom.

The following is a DFT calculation (GGA-PBEsol) of an optimized crystal structure of FeOs.

```
FeOs
1.0
2.629 0.000 0.000
0.000 4.445 0.006
-1.315 -2.118 4.126
Fe Os
2 2
Direct
0.372 0.205 0.745
0.628 0.795 0.255
0.878 0.707 0.757
0.122 0.293 0.243
```

As for the energy of formation from the pure elements: 0.1 eV/f.u.

The following is a DFT calculation (GGA-PBEsol) of an optimized crystal structure of ZrSc2Cd.

```
ZrSc2Cd
1.0
3.188 0.000 0.000
1.594 2.761 0.000
1.594 0.920 10.058
Sc Cd Zr
2 1 1
Direct
0.250 0.250 0.250
0.750 0.750 0.750
0.000 0.000 0.000
0.500 0.500 0.500
```

As for the energy of formation from the pure elements: -0.3 eV/f.u. The calculation puts the energy above the most stable polymorph in this dataset at 103.4 meV/atom.

The following is a DFT calculation (GGA-PBEsol) of an optimized crystal structure of CsPH.

```
CsPH
1.0
5.370 -0.030 0.017
2.286 5.761 0.050
2.653 -0.886 5.827
H P Cs
2 2 2
Direct
0.603 0.224 0.264
0.679 0.681 0.070
0.577 0.040 0.408
0.868 0.724 0.162
0.239 0.122 0.030
0.184 0.665 0.541
```

As for the total energy: -3.671 eV per atom.

The following is a DFT calculation (GGA-PBEsol) of an optimized crystal structure of Be2InPd2.

```
Be2InPd2
1.0
-0.538 2.863 -0.217
-3.169 -0.155 5.822
5.694 1.308 3.135
Pd Be In
4 4 2
Direct
0.500 0.665 0.835
0.500 0.165 0.665
0.500 0.335 0.165
0.500 0.835 0.335
0.000 0.120 0.380
0.000 0.880 0.620
0.000 0.620 0.120
0.000 0.380 0.880
0.000 0.000 0.000
0.000 0.500 0.500
```

As for the energy of formation from the pure elements: -2.2 eV/f.u.

The following is a DFT calculation (GGA-PBEsol) of an optimized crystal structure of CrCuPb2.

```
CrCuPb2
1.0
-3.123 3.141 1.894
-4.645 -1.325 0.666
-1.642 -0.676 4.541
Pb Cu Cr
2 1 1
Direct
0.249 0.751 0.751
0.751 0.249 0.249
0.500 0.000 0.000
0.000 0.500 0.500
```

As for the energy of formation from the pure elements: 2.1 eV/f.u. The calculation puts the energy above the most stable polymorph in this dataset at 30.9 meV/atom.